Na2InHAu: relaxed, GGA-PBE.

Computed properties:
- space group = P4/mmm
- E (eV/cell) = -12.56

Cell: 4.4692 4.4692 4.7426 Å, 90.00 90.00 90.00°
Atoms (fractional coordinates):
Na1 0.0000 0.5000 0.0000
Na2 0.5000 0.0000 0.0000
In1 0.0000 0.0000 0.5000
H1 0.0000 0.0000 0.0000
Au1 0.5000 0.5000 0.5000